AcInSe3 | PBE-GGA | optimized geometry

Cell and atoms, written as POSCAR:
```
AcInSe3
1.0
8.050 0.000 0.000
0.000 4.305 0.000
-1.012 0.000 8.403
Ac In Se
2 2 6
Direct
0.129 0.250 0.281 Ac
0.871 0.750 0.719 Ac
0.345 0.750 0.846 In
0.655 0.250 0.154 In
0.122 0.250 0.897 Se
0.209 0.750 0.542 Se
0.414 0.750 0.168 Se
0.586 0.250 0.832 Se
0.791 0.250 0.458 Se
0.878 0.750 0.103 Se
```

## Properties
Total magnetic moment = 0.00 μB per cell
Relative energy among the computed polymorphs = 7 meV per atom
Crystal system = monoclinic
Space group = No. 11

TiBe4Ag | PBE-GGA | optimized geometry

Cell and atoms, written as POSCAR:
```
TiBe4Ag
1.0
0.000 3.217 3.217
3.217 0.000 3.217
3.217 3.217 0.000
Ti Be Ag
1 4 1
Direct
0.000 0.000 0.000 Ti
0.114 0.629 0.629 Be
0.629 0.114 0.629 Be
0.629 0.629 0.114 Be
0.629 0.629 0.629 Be
0.250 0.250 0.250 Ag
```

## Properties
Total magnetic moment = 1.18 μB per cell
Formation enthalpy at 0 K = 0.02 eV/atom
Crystal system = cubic
Space group = No. 216

Ce3In | PBE-GGA | optimized geometry

Cell and atoms, written as POSCAR:
```
Ce3In
1.0
4.805 0.000 0.000
0.000 4.805 0.000
0.000 0.000 4.805
Ce In
3 1
Direct
0.000 0.000 0.500 Ce
0.000 0.500 0.000 Ce
0.500 0.000 0.000 Ce
0.500 0.500 0.500 In
```

## Properties
Total magnetic moment = 2.83 μB per cell
Relative energy among the computed polymorphs = 0 meV per atom
Formation enthalpy at 0 K = -0.19 eV/atom
Crystal system = cubic
Space group = No. 221

Q: total magnetic moment of number 2 (TiBe4Ag)?
A: 1.18 μB per cell

Q: Which of these has the highest total magnetic moment?
A: Ce3In